[1]
Li3YTh2Te6 GGA-PBE relaxed; energy relative to the elements, uncorrected = -1.151 eV/atom
1.0
7.4765 -0.0015 0.0010
-3.7377 6.4751 0.0010
-1.2463 -2.1580 7.2311
Li Y Th Te
3 1 2 6
direct
0.1683 0.8317 0.5000
0.8317 0.1683 0.5000
0.5000 0.5000 0.5000
0.0000 0.0000 0.0000
0.3336 0.6664 0.0000
0.6664 0.3336 0.0000
0.9114 0.5836 0.7338
0.7610 0.7610 0.2660
0.0886 0.4164 0.2662
0.5836 0.9114 0.7338
0.2390 0.2390 0.7340
0.4164 0.0886 0.2662

[2]
Li3Y2ThTe6 GGA-PBE relaxed; energy relative to the elements, uncorrected = -1.229 eV/atom
1.0
7.5071 -0.0009 0.0004
-3.7525 6.5019 0.0004
-1.2517 -2.1672 7.1230
Li Y Th Te
3 2 1 6
direct
0.1659 0.8341 0.5000
0.8341 0.1659 0.5000
0.5000 0.5000 0.5000
0.3333 0.6667 0.0000
0.6667 0.3333 0.0000
0.0000 0.0000 0.0000
0.9129 0.5752 0.7388
0.7494 0.7494 0.2614
0.0871 0.4248 0.2612
0.5752 0.9129 0.7388
0.2506 0.2506 0.7386
0.4248 0.0871 0.2612

[3]
LiYThTe3 GGA-PBE relaxed; energy relative to the elements, uncorrected = -1.136 eV/atom
1.0
-1.9996 3.2856 -1.6388
-0.2341 -4.2077 -8.1501
-7.9674 -2.7474 4.2135
Li Y Th Te
2 2 2 6
direct
0.2500 0.0850 0.5865
0.7500 0.9150 0.4135
0.2500 0.6655 0.1413
0.7500 0.3345 0.8587
0.7500 0.8017 0.7767
0.2500 0.1983 0.2233
0.2500 0.7719 0.5025
0.7500 0.9126 0.1253
0.7500 0.4486 0.1986
0.7500 0.2281 0.4975
0.2500 0.5514 0.8014
0.2500 0.0874 0.8747

[4]
LiYTh2Te5 GGA-PBE relaxed; energy relative to the elements, uncorrected = -1.136 eV/atom
1.0
4.2957 0.0000 0.0000
-2.1478 9.3439 0.0000
0.0000 0.0000 13.3254
Li Y Th Te
2 2 4 10
direct
0.5624 0.1248 0.9628
0.4376 0.8752 0.4628
0.7996 0.5992 0.5075
0.2004 0.4008 0.0075
0.8699 0.7398 0.8013
0.1065 0.2130 0.6807
0.1301 0.2602 0.3013
0.8935 0.7870 0.1807
0.3652 0.7303 0.9983
0.6898 0.3796 0.8423
0.4987 0.9975 0.7875
0.2821 0.5643 0.6683
0.9514 0.9027 0.5752
0.6348 0.2697 0.4983
0.3102 0.6204 0.3423
0.5013 0.0025 0.2875
0.7179 0.4357 0.1683
0.0486 0.0973 0.0752

[5]
LiY3Th4Te8 GGA-PBE relaxed; energy relative to the elements, uncorrected = -1.155 eV/atom
1.0
-7.9274 0.5622 2.8925
-2.8555 -5.4888 -6.7592
6.1458 -2.8893 5.0409
Li Y Th Te
1 3 4 8
direct
0.0000 0.5000 0.0000
0.5000 0.5000 0.0000
0.5000 0.5000 0.5000
0.0000 0.5000 0.5000
0.5000 0.0000 0.0000
0.5000 0.0000 0.5000
0.0000 0.0000 0.0000
0.0000 0.0000 0.5000
0.2388 0.7309 0.9920
0.2388 0.7309 0.4777
0.2543 0.2630 0.5087
0.7532 0.7309 0.9920
0.2468 0.2691 0.0080
0.7457 0.7370 0.4914
0.7612 0.2691 0.5223
0.7612 0.2691 0.0080

[6]
LiY2Th3Te6 GGA-PBE relaxed; energy relative to the elements, uncorrected = -1.149 eV/atom
1.0
-0.2376 1.8673 -3.7690
-2.6475 -7.9511 -3.7723
-7.7770 4.1029 4.8775
Li Y Th Te
1 2 3 6
direct
0.5000 0.0000 0.0000
0.8330 0.6648 0.6659
0.1670 0.3352 0.3341
0.5000 0.5000 0.0000
0.8277 0.1580 0.6554
0.1723 0.8420 0.3446
0.3453 0.9131 0.6905
0.6694 0.5789 0.3389
0.6547 0.0869 0.3095
0.0005 0.2342 0.0010
0.9995 0.7658 0.9990
0.3306 0.4211 0.6611

[7]
LiYTh2Te4 GGA-PBE relaxed; energy relative to the elements, uncorrected = -1.143 eV/atom
1.0
-3.7483 -0.8834 -1.6519
0.3076 -6.6788 2.8736
-3.5605 4.7949 5.5151
Li Y Th Te
1 1 2 4
direct
0.0000 0.0000 0.0000
0.5000 0.5000 0.0000
0.5000 0.0000 0.5000
0.0000 0.5000 0.5000
0.5000 0.2354 0.2283
0.5000 0.7646 0.7717
0.0000 0.2460 0.7694
0.0000 0.7540 0.2306

[8]
Li2TiTe2 GGA-PBE relaxed; energy relative to the elements, uncorrected = -0.563 eV/atom
1.0
-4.1250 0.9322 -6.1163
-5.6329 -3.6064 3.2494
-1.3795 3.4694 1.4591
Te Li Ti
4 4 2
direct
0.3278 0.8278 0.0000
0.8278 0.6722 0.0000
0.6722 0.1722 0.0000
0.1722 0.3278 0.0000
0.1422 0.6422 0.5000
0.6422 0.8578 0.5000
0.8578 0.3578 0.5000
0.3578 0.1422 0.5000
0.0000 0.0000 0.0000
0.5000 0.5000 0.0000

[9]
LiTi4Te8 GGA-PBE relaxed; energy relative to the elements, uncorrected = -0.682 eV/atom
1.0
8.0078 0.0000 0.0000
4.0039 6.9349 0.0000
4.0039 2.3116 6.5383
Li Ti Te
1 4 8
direct
0.7500 0.7500 0.7500
0.8939 0.3687 0.3687
0.3687 0.8939 0.3687
0.3687 0.3687 0.8939
0.3687 0.3687 0.3687
0.6286 0.1238 0.1238
0.1238 0.6286 0.1238
0.1238 0.1238 0.6286
0.1238 0.1238 0.1238
0.1472 0.6176 0.6176
0.6176 0.1472 0.6176
0.6176 0.6176 0.1472
0.6176 0.6176 0.6176

[10]
LiTi2Te6 GGA-PBE relaxed; energy relative to the elements, uncorrected = -0.439 eV/atom
1.0
-0.0339 5.2516 4.0719
-1.1947 -4.0104 5.1624
11.5324 -1.2450 1.7017
Li Ti Te
2 4 12
direct
0.5000 0.5000 0.0000
0.0000 0.0000 0.5000
0.5000 0.5000 0.3399
0.5000 0.5000 0.6601
0.0000 0.0000 0.1601
0.0000 0.0000 0.8399
0.7092 0.7092 0.1773
0.7092 0.7092 0.8227
0.7073 0.7073 0.5000
0.7927 0.2073 0.0000
0.7908 0.2092 0.3227
0.7908 0.2092 0.6773
0.2092 0.7908 0.3227
0.2092 0.7908 0.6773
0.2073 0.7927 0.0000
0.2927 0.2927 0.5000
0.2908 0.2908 0.1773
0.2908 0.2908 0.8227

[11]
Li3TiTe GGA-PBE relaxed; energy relative to the elements, uncorrected = 0.362 eV/atom
1.0
-4.9317 -0.9402 0.8622
1.2663 -4.0258 2.8528
0.1549 2.9763 4.1312
Te Li Ti
1 3 1
direct
0.0000 0.0000 0.0000
0.0000 0.5000 0.0000
0.0000 0.0000 0.5000
0.5000 0.0000 0.0000
0.5000 0.5000 0.5000

[12]
LiTi4Te8 GGA-PBE relaxed; energy relative to the elements, uncorrected = -0.735 eV/atom
1.0
6.6704 -0.0005 -3.5988
-4.3058 6.2375 -0.0004
0.2949 0.2043 8.5281
Li Ti Te
1 4 8
direct
0.0000 0.5000 0.5000
0.0000 0.0000 0.0000
0.0000 0.5000 0.0000
0.5000 0.5000 0.0000
0.5000 0.0000 0.0000
0.4900 0.7450 0.2350
0.5100 0.2550 0.7650
0.4885 0.2442 0.2355
0.0088 0.2530 0.7645
0.5115 0.7558 0.7645
0.0088 0.7558 0.7645
0.9912 0.2442 0.2355
0.9912 0.7470 0.2355

[13]
Li3UTi2Te6 GGA-PBE relaxed; energy relative to the elements, uncorrected = -0.783 eV/atom
1.0
7.0945 -0.0038 -0.0018
-3.5488 6.1431 -0.0018
-1.1839 -2.0500 7.0600
Li U Ti Te
3 1 2 6
direct
0.1535 0.8465 0.5000
0.8465 0.1535 0.5000
0.5000 0.5000 0.5000
0.0000 0.0000 0.0000
0.3236 0.6764 0.0000
0.6764 0.3236 0.0000
0.9140 0.5625 0.7511
0.7224 0.7224 0.2364
0.0860 0.4375 0.2489
0.5625 0.9140 0.7511
0.2776 0.2776 0.7636
0.4375 0.0860 0.2489

[14]
Li3ZrTi2Te6 GGA-PBE relaxed; energy relative to the elements, uncorrected = -0.830 eV/atom
1.0
-3.4232 4.6635 -3.7990
1.2637 -6.3033 -2.5633
-5.4300 -1.7809 4.7899
Li Zr Ti Te
3 1 2 6
direct
0.1506 0.8494 0.5000
0.8494 0.1506 0.5000
0.5000 0.5000 0.5000
0.0000 0.0000 0.0000
0.3174 0.6826 0.0000
0.6826 0.3174 0.0000
0.9133 0.5741 0.7522
0.7269 0.7269 0.2290
0.0867 0.4259 0.2478
0.5741 0.9133 0.7522
0.2731 0.2731 0.7710
0.4259 0.0867 0.2478

[15]
LiTlTe2 GGA-PBE relaxed; energy relative to the elements, uncorrected = -0.372 eV/atom
1.0
-1.1980 -0.9296 -2.9284
5.0701 0.7600 -2.3154
1.4749 -5.9365 1.2812
Li Te Tl
1 2 1
direct
0.5000 0.5000 0.8758
0.0000 0.0000 0.8750
0.5000 0.5000 0.3740
0.0000 0.0000 0.3752

[16]
LiTlTe2 GGA-PBE relaxed; energy relative to the elements, uncorrected = -0.280 eV/atom
1.0
-4.0783 1.7574 -8.9629
-7.0182 1.9877 -6.8446
-4.8527 4.8717 -7.2645
Li Te Tl
1 2 1
direct
0.2500 0.2500 0.2500
0.9864 0.9864 0.9864
0.5135 0.5135 0.5135
0.7500 0.7500 0.7500

[17]
LiTlTe3 GGA-PBE relaxed; energy relative to the elements, uncorrected = 0.006 eV/atom
1.0
-3.6511 3.7641 0.7709
-3.8356 -3.6331 -0.4266
0.2254 -0.8517 5.2266
Tl Te Li
1 3 1
direct
0.5000 0.5000 0.5000
0.0000 0.5000 0.0000
0.0000 0.0000 0.5000
0.5000 0.0000 0.0000
0.0000 0.0000 0.0000

[18]
LiTlTe2 GGA-PBE relaxed; energy relative to the elements, uncorrected = -0.392 eV/atom
1.0
-4.2415 -0.0429 -1.0564
-1.0595 -0.8476 4.2884
-1.0204 5.3089 3.8811
Li Te Tl
1 2 1
direct
0.5000 0.7500 0.7500
0.0000 0.9529 0.9666
0.0000 0.5471 0.5334
0.5000 0.2500 0.2500

[19]
LiTlTe2 GGA-PBE relaxed; energy relative to the elements, uncorrected = -0.220 eV/atom
1.0
3.4757 -0.0111 0.0000
0.0101 3.4757 0.0000
0.0000 0.0000 10.3994
Li Te Tl
1 2 1
direct
0.5000 0.5000 0.7910
0.0000 0.0000 0.9243
0.5000 0.5000 0.2871
0.0000 0.0000 0.4975

[20]
LiTlTe2 GGA-PBE relaxed; energy relative to the elements, uncorrected = -0.341 eV/atom
1.0
-2.4592 -0.5946 -6.9395
-1.4579 -3.7751 3.5443
-4.1634 0.4490 -1.0166
Li Te Tl
1 2 1
direct
0.5000 0.5000 0.0000
0.0000 0.0000 0.0000
0.5000 0.0000 0.5000
0.0000 0.5000 0.5000

[21]
LiTl2Te GGA-PBE relaxed; energy relative to the elements, uncorrected = -0.195 eV/atom
1.0
5.4919 0.0000 0.0000
2.7460 4.7562 0.0000
2.7460 1.5854 4.4842
Li Te Tl
1 1 2
direct
0.5000 0.5000 0.5000
0.7500 0.7500 0.7500
0.0000 0.0000 0.0000
0.2500 0.2500 0.2500

[22]
LiTl2Te GGA-PBE relaxed; energy relative to the elements, uncorrected = -0.156 eV/atom
1.0
-3.0175 -6.2571 4.1344
-1.9596 -7.8338 0.3764
0.9842 -7.2964 3.3383
Li Te Tl
1 1 2
direct
0.2500 0.2500 0.2500
0.7500 0.7500 0.7500
0.9961 0.9961 0.9961
0.5039 0.5039 0.5039

[23]
LiTlTe2 GGA-PBE relaxed; energy relative to the elements, uncorrected = -0.281 eV/atom
1.0
-4.6470 0.8370 0.7785
-1.0258 -4.6990 -1.0709
0.5772 -1.2067 4.7423
Li Te Tl
1 2 1
direct
0.5000 0.0000 0.5000
0.0000 0.0000 0.0000
0.0000 0.5000 0.5000
0.5000 0.5000 0.0000